CoOsNO (PBE+U, relaxed); energy above the lowest structure with this stoichiometry = 274 meV per atom; DFT total energy = -28.51 eV per formula unit; size of the total moment = 0.670 μB per atom
1.0
-0.5037 -3.1619 1.9282
2.7758 0.9659 2.3090
-4.3834 3.1168 3.9659
O Co N Os
2 2 2 2
direct
0.2500 0.7500 0.0000
0.7500 0.2500 0.0000
0.2500 0.2500 0.1000
0.7500 0.7500 0.9000
0.2500 0.2500 0.6348
0.7500 0.7500 0.3652
0.7500 0.2500 0.5000
0.2500 0.7500 0.5000